Record 1
Entry from Alexandria: a relaxed Er12Sc7In crystal (GGA-PBE).

```
Er12Sc7In
1.0
-0.979 -7.180 4.377
8.371 1.180 0.459
-2.866 5.776 5.486
Er Sc In
12 7 1
Cartesian
-0.189 -2.279 6.207
2.727 -3.503 4.866
-0.614 -0.481 3.349
2.838 -2.032 7.933
-0.673 1.113 6.458
2.192 1.272 8.288
2.335 -1.496 2.034
5.199 -1.338 3.865
1.688 1.808 2.389
5.141 0.256 6.973
1.799 3.279 5.456
4.715 2.054 4.115
5.353 0.661 1.217
4.701 4.025 6.789
5.790 -3.619 6.145
2.263 -0.112 5.161
-1.264 3.395 4.178
-0.174 -4.249 3.534
-0.827 -0.885 9.106
0.000 0.000 0.000
```

## Properties
- M_tot (μB per atom) = 0.0000
- formation enthalpy at 0 K (eV per atom) = 0.051
- energy (eV per atom) = -5.040
- Fermi-level density of states (states/eV per cell) = 36.50


Record 2
Entry from Alexandria: a relaxed Er2Sc3In2 crystal (GGA-PBE).

```
Er2Sc3In2
1.0
-0.075 0.463 -3.585
5.198 -3.570 1.254
-5.596 -5.845 -0.639
Er Sc In
2 3 2
Cartesian
0.568 -5.544 -2.551
-1.041 -3.407 -0.419
0.000 0.000 0.000
1.503 -2.165 -2.134
-1.976 -6.786 -0.836
-3.434 -4.607 -2.348
2.960 -4.344 -0.622
```

## Properties
- M_tot (μB per atom) = 0.0069
- formation enthalpy at 0 K (eV per atom) = -0.266
- energy (eV per atom) = -5.066
- E above lowest polymorph (eV/atom) = 0.0000
- Fermi-level density of states (states/eV per cell) = 8.07


Record 3
Entry from Alexandria: a relaxed ErSc4In2 crystal (GGA-PBE).

```
ErSc4In2
1.0
-0.114 2.882 -5.096
4.866 -3.081 1.056
-4.699 -4.429 -0.490
Er Sc In
1 4 2
Cartesian
0.000 0.000 0.000
-1.218 -0.823 -3.802
1.271 -3.805 -0.727
-0.057 1.441 -2.548
2.433 -1.540 0.528
1.741 -1.337 -2.706
-1.688 -3.291 -1.823
```

## Properties
- M_tot (μB per atom) = 0.1131
- formation enthalpy at 0 K (eV per atom) = 0.058
- energy (eV per atom) = -4.994
- E above lowest polymorph (eV/atom) = 0.0000
- Fermi-level density of states (states/eV per cell) = 8.72